The following is a PBE calculation of MgCrPd after structural relaxation, from the Alexandria database.

```
MgCrPd
1.0
3.5364 0.0000 0.0000
0.0000 3.5364 0.0000
0.0000 0.0000 7.5319
Mg Cr Pd
2 2 2
Direct
0.2500 0.2500 0.1387 Mg
0.7500 0.7500 0.8613 Mg
0.2500 0.7500 0.5000 Cr
0.7500 0.2500 0.5000 Cr
0.2500 0.2500 0.7648 Pd
0.7500 0.7500 0.2352 Pd
```

**Formation energy**: 57 meV per atom


The following is a PBE calculation of Ir3WC after structural relaxation, from the Alexandria database.

```
Ir3WC
1.0
4.7391 0.0000 0.0000
0.0000 4.7391 0.0000
0.0000 0.0000 4.7391
Ir W C
3 1 1
Direct
0.0000 0.0000 0.5000 Ir
0.0000 0.5000 0.0000 Ir
0.5000 0.0000 0.0000 Ir
0.0000 0.0000 0.0000 W
0.5000 0.5000 0.5000 C
```

**Formation energy**: 3016 meV per atom
**E above lowest polymorph**: 2299 meV/atom


The following is a PBE calculation of Fe2RePb after structural relaxation, from the Alexandria database.

```
Fe2RePb
1.0
4.3369 -1.4928 0.0000
4.3369 1.4928 0.0000
-0.9951 0.0000 4.8749
Fe Re Pb
2 1 1
Direct
0.0000 0.0000 0.0000 Fe
0.7334 0.7334 0.2056 Fe
0.4729 0.4729 0.3876 Re
0.2396 0.2396 0.7197 Pb
```

**Formation energy**: 608 meV per atom


The following is a PBE calculation of Pr7Y2Mg2 after structural relaxation, from the Alexandria database.

```
Pr7Y2Mg2
1.0
5.4319 -5.8672 0.0000
5.4319 5.8672 0.0000
-2.3076 0.0000 5.7855
Pr Y Mg
7 2 2
Direct
0.0000 0.0000 0.0000 Pr
0.0602 0.5803 0.8101 Pr
0.4197 0.9398 0.1899 Pr
0.4216 0.4216 0.2031 Pr
0.5784 0.5784 0.7969 Pr
0.5803 0.0602 0.8101 Pr
0.9398 0.4197 0.1899 Pr
0.2051 0.2051 0.5914 Y
0.7949 0.7949 0.4086 Y
0.2248 0.7752 0.5000 Mg
0.7752 0.2248 0.5000 Mg
```

**Formation energy**: 102 meV per atom
**E above lowest polymorph**: 0 meV/atom


The following is a PBE calculation of Er6TlSi2Se3 after structural relaxation, from the Alexandria database.

```
Er6TlSi2Se3
1.0
9.0894 -2.0422 0.0000
9.0894 2.0422 0.0000
-2.4098 0.0000 7.9981
Er Tl Si Se
6 1 2 3
Direct
0.0006 0.0006 0.2655 Er
0.3276 0.3276 0.4325 Er
0.3277 0.3277 0.9078 Er
0.6723 0.6723 0.0922 Er
0.6724 0.6724 0.5675 Er
0.9994 0.9994 0.7345 Er
0.5000 0.5000 0.0000 Tl
0.1635 0.1635 0.3244 Si
0.8365 0.8365 0.6756 Si
0.1664 0.1664 0.8268 Se
0.5000 0.5000 0.5000 Se
0.8336 0.8336 0.1732 Se
```

**Final energy**: -5.41 eV per atom


The following is a PBE calculation of K2ZrIr after structural relaxation, from the Alexandria database.

```
K2ZrIr
1.0
4.0139 0.0000 0.0000
0.0000 4.0240 0.0000
0.0000 0.0000 6.1335
K Zr Ir
2 1 1
Direct
0.0000 0.0000 0.0000 K
0.5000 0.5000 0.0000 K
0.0000 0.5000 0.5000 Zr
0.5000 0.0000 0.5000 Ir
```

**Formation energy**: 581 meV per atom
**E above lowest polymorph**: 478 meV/atom


The following is a PBE calculation of RbPaCoS4 after structural relaxation, from the Alexandria database.

```
RbPaCoS4
1.0
6.5316 0.0000 0.0000
0.0000 5.8382 0.0000
-2.6400 0.0000 8.8109
Rb Pa Co S
2 2 2 8
Direct
0.2464 0.2500 0.4488 Rb
0.7536 0.7500 0.5512 Rb
0.2401 0.2500 0.9483 Pa
0.7599 0.7500 0.0517 Pa
0.2651 0.7500 0.1592 Co
0.7349 0.2500 0.8408 Co
0.0575 0.7500 0.3115 S
0.0750 0.7500 0.9187 S
0.4864 0.5090 0.8058 S
0.4864 0.9910 0.8058 S
0.5136 0.0090 0.1942 S
0.5136 0.4910 0.1942 S
0.9250 0.2500 0.0813 S
0.9425 0.2500 0.6885 S
```

**Final energy**: -6.02 eV per atom


The following is a PBE calculation of Ca2LaHg2 after structural relaxation, from the Alexandria database.

```
Ca2LaHg2
1.0
5.4223 0.0000 0.0000
0.0000 5.3772 0.0000
-0.0221 0.0000 11.1867
Ca La Hg
4 2 4
Direct
0.2495 0.2500 0.3278 Ca
0.2496 0.2500 0.0037 Ca
0.7504 0.7500 0.9963 Ca
0.7505 0.7500 0.6722 Ca
0.2507 0.2500 0.6703 La
0.7493 0.7500 0.3297 La
0.2499 0.7500 0.4984 Hg
0.2505 0.7500 0.8350 Hg
0.7495 0.2500 0.1650 Hg
0.7501 0.2500 0.5016 Hg
```

**Formation energy**: -384 meV per atom
**E above lowest polymorph**: 21 meV/atom


The following is a PBE calculation of AcPr3SmTm after structural relaxation, from the Alexandria database.

```
AcPr3SmTm
1.0
8.2765 0.0000 0.0000
0.0000 5.2669 0.0000
-3.3815 0.0000 9.9570
Ac Pr Sm Tm
2 6 2 2
Direct
0.1725 0.2500 0.2942 Ac
0.8275 0.7500 0.7058 Ac
0.1734 0.2500 0.7924 Pr
0.1729 0.7500 0.0409 Pr
0.1741 0.7500 0.5463 Pr
0.8259 0.2500 0.4537 Pr
0.8271 0.2500 0.9591 Pr
0.8266 0.7500 0.2076 Pr
0.4971 0.7500 0.8754 Sm
0.5029 0.2500 0.1246 Sm
0.4984 0.2500 0.6264 Tm
0.5016 0.7500 0.3736 Tm
```

**Formation energy**: 37 meV per atom


The following is a PBE calculation of Tm5Co2Ge after structural relaxation, from the Alexandria database.

```
Tm5Co2Ge
1.0
-3.6283 3.6283 6.7306
3.6283 -3.6283 6.7306
3.6283 3.6283 -6.7306
Tm Co Ge
10 4 2
Direct
0.0000 0.0000 0.0000 Tm
0.0296 0.5296 0.8374 Tm
0.1922 0.0296 0.5000 Tm
0.3078 0.8078 0.8374 Tm
0.4704 0.3078 0.5000 Tm
0.5000 0.5000 0.0000 Tm
0.5296 0.6922 0.5000 Tm
0.6922 0.1922 0.1626 Tm
0.8078 0.9704 0.5000 Tm
0.9704 0.4704 0.1626 Tm
0.1178 0.3822 0.5000 Co
0.3822 0.8822 0.2644 Co
0.6178 0.1178 0.7356 Co
0.8822 0.6178 0.5000 Co
0.2500 0.2500 0.0000 Ge
0.7500 0.7500 0.0000 Ge
```

**Formation energy**: -399 meV per atom


The following is a PBE calculation of Be2CoPd after structural relaxation, from the Alexandria database.

```
Be2CoPd
1.0
0.0000 2.7150 2.7150
2.7150 0.0000 2.7150
2.7150 2.7150 0.0000
Be Co Pd
2 1 1
Direct
0.2500 0.2500 0.2500 Be
0.7500 0.7500 0.7500 Be
0.0000 0.0000 0.0000 Co
0.5000 0.5000 0.5000 Pd
```

**Formation energy**: -424 meV per atom
**E above lowest polymorph**: 39 meV/atom


The following is a PBE calculation of ZnCrW2 after structural relaxation, from the Alexandria database.

```
ZnCrW2
1.0
3.1913 0.0000 0.0000
0.0000 3.1913 0.0000
0.0000 0.0000 5.7080
Zn Cr W
1 1 2
Direct
0.0000 0.0000 0.0000 Zn
0.0000 0.0000 0.5000 Cr
0.5000 0.5000 0.2668 W
0.5000 0.5000 0.7332 W
```

**Formation energy**: 334 meV per atom